First-principles (GGA-PBE) data for a relaxed structure of HfMgScCd, as listed in Alexandria via LeMat-Bulk.

abc: 3.204 3.204 8.634
angles: 90.00 90.00 90.00
Element x y z (fractional)
Hf: 0.000 0.000 0.000
Mg: 0.500 0.500 0.738
Sc: 0.500 0.500 0.245
Cd: 0.000 0.000 0.499

DFT formation energy	-0.125	eV/atom
volume	22.15	Å³/atom
total DFT energy (no corrections)	-4.82	eV per atom
ρ	6.7	g/cm3
DOS(E_F)	0.54	states/eV/atom

First-principles (GGA-PBE) data for a relaxed structure of Hf2MgCdSn, as listed in Alexandria via LeMat-Bulk.

abc: 5.239 5.239 4.884
angles: 90.00 90.00 90.00
Element x y z (fractional)
Hf: 0.000 0.500 0.000
Hf: 0.500 0.000 0.000
Mg: 0.000 0.000 0.500
Cd: 0.000 0.000 0.000
Sn: 0.500 0.500 0.500

DFT formation energy	0.749	eV/atom
volume	26.81	Å³/atom
total DFT energy (no corrections)	-4.53	eV per atom
ρ	7.6	g/cm3
DOS(E_F)	0.50	states/eV/atom

First-principles (GGA-PBE) data for a relaxed structure of HfMgTlCd, as listed in Alexandria via LeMat-Bulk.

abc: 7.094 7.094 7.094
angles: 90.00 90.00 90.00
Element x y z (fractional)
Hf: 0.000 0.000 0.000
Hf: 0.000 0.500 0.500
Hf: 0.500 0.000 0.500
Hf: 0.500 0.500 0.000
Mg: 0.000 0.000 0.500
Mg: 0.000 0.500 0.000
Mg: 0.500 0.000 0.000
Mg: 0.500 0.500 0.500
Tl: 0.250 0.250 0.250
Tl: 0.250 0.750 0.750
Tl: 0.750 0.250 0.750
Tl: 0.750 0.750 0.250
Cd: 0.250 0.250 0.750
Cd: 0.250 0.750 0.250
Cd: 0.750 0.250 0.250
Cd: 0.750 0.750 0.750

DFT formation energy	0.154	eV/atom
volume	22.32	Å³/atom
total DFT energy (no corrections)	-3.55	eV per atom
ρ	9.7	g/cm3
DOS(E_F)	0.69	states/eV/atom

First-principles (GGA-PBE) data for a relaxed structure of TmHfMgCd, as listed in Alexandria via LeMat-Bulk.

abc: 7.191 7.191 7.191
angles: 90.00 90.00 90.00
Element x y z (fractional)
Tm: 0.000 0.000 0.000
Tm: 0.000 0.500 0.500
Tm: 0.500 0.000 0.500
Tm: 0.500 0.500 0.000
Hf: 0.000 0.000 0.500
Hf: 0.000 0.500 0.000
Hf: 0.500 0.000 0.000
Hf: 0.500 0.500 0.500
Mg: 0.250 0.250 0.250
Mg: 0.250 0.750 0.750
Mg: 0.750 0.250 0.750
Mg: 0.750 0.750 0.250
Cd: 0.250 0.250 0.750
Cd: 0.250 0.750 0.250
Cd: 0.750 0.250 0.250
Cd: 0.750 0.750 0.750

DFT formation energy	0.033	eV/atom
volume	23.24	Å³/atom
total DFT energy (no corrections)	-4.20	eV per atom
ρ	8.6	g/cm3
DOS(E_F)	1.11	states/eV/atom

Q: Among the records above, which one has the highest ρ?
A: HfMgTlCd